No. 1
The following is a GGA-PBE calculation of a geometry-optimized CaTmAg structure, from the Alexandria database.

It has space group P3m1 (No. 156), with a = 5.0492 Å, b = 5.0492 Å, c = 3.9270 Å, α = 90.00°, β = 90.00° and γ = 120.00°. Symmetry generates all atoms from Ca at (0.0000, 0.0000, 0.0000), Tm at (0.3333, 0.6667, 0.5184) and Ag at (0.6667, 0.3333, 0.3883).

The formation energy comes out at 0.03 eV/atom. Its density of states at the Fermi level is 0.890 states/eV per atom. Its energy above the most stable polymorph in this dataset is 199.1 meV/atom.


No. 2
The following is a GGA-PBE calculation of a geometry-optimized LaHo5Mg4 structure, from the Alexandria database.

It has space group P4/mmm (No. 123), with a = 3.748 Å, b = 3.748 Å, c = 20.246 Å, α = 90.00°, β = 90.00° and γ = 90.00°. Symmetry generates all atoms from La at (0.000, 0.000, 0.000), Ho at (0.500, 0.500, 0.124), Ho at (0.500, 0.500, 0.312), Ho at (0.500, 0.500, 0.500), Mg at (0.000, 0.000, 0.218) and Mg at (0.000, 0.000, 0.406).

The formation energy comes out at -0.05 eV/atom. Its density of states at the Fermi level is 1.478 states/eV per atom.


No. 3
The following is a GGA-PBE calculation of a geometry-optimized Ba5NaSr2Mg2 structure, from the Alexandria database.

It has space group P4/mbm (No. 127), with a = 14.346 Å, b = 14.346 Å, c = 5.147 Å, α = 90.00°, β = 90.00° and γ = 90.00°. Symmetry generates all atoms from Ba at (0.000, 0.500, 0.000), Ba at (0.071, 0.205, 0.000), Na at (0.000, 0.000, 0.500), Sr at (0.171, 0.671, 0.500) and Mg at (0.125, 0.375, 0.500).

The formation energy comes out at 0.03 eV/atom. Its density of states at the Fermi level is 1.432 states/eV per atom.


No. 4
The following is a GGA-PBE calculation of a geometry-optimized Ac4Nd5Dy2 structure, from the Alexandria database.

It has space group C2/m (No. 12), with a = 23.416 Å, b = 3.745 Å, c = 10.280 Å, α = 90.00°, β = 106.78° and γ = 90.00°. Symmetry generates all atoms from Ac at (0.047, 0.000, 0.193), Ac at (0.108, 0.500, 0.896), Nd at (0.000, 0.500, 0.500), Nd at (0.136, 0.000, 0.577), Nd at (0.213, 0.000, 0.350) and Dy at (0.238, 0.000, 0.867).

The formation energy comes out at 0.18 eV/atom. Its density of states at the Fermi level is 1.418 states/eV per atom.


No. 5
The following is a GGA-PBE calculation of a geometry-optimized LaBrCl3 structure, from the Alexandria database.

It has space group Pm-3m (No. 221), with a = 5.430 Å, b = 5.430 Å, c = 5.430 Å, α = 90.00°, β = 90.00° and γ = 90.00°. Symmetry generates all atoms from La at (0.000, 0.000, 0.000), Br at (0.500, 0.500, 0.500) and Cl at (0.000, 0.500, 0.500).

Its density of states at the Fermi level is 2.640 states/eV per atom. Its energy above the most stable polymorph in this dataset is 1263.3 meV/atom.


No. 6
The following is a GGA-PBE calculation of a geometry-optimized K2SrTi3O8 structure, from the Alexandria database.

It has space group R3m (No. 160, hexagonal axes), with a = 6.1952 Å, b = 6.1952 Å, c = 18.3933 Å, α = 90.00°, β = 90.00° and γ = 120.00°. Symmetry generates all atoms from K at (0.0000, 0.0000, 0.0000), K at (0.0000, 0.0000, 0.3686), Sr at (0.0000, 0.0000, 0.7497), Ti at (0.0037, 0.5019, 0.8704), O at (0.0000, 0.0000, 0.1424), O at (0.0000, 0.0000, 0.5992), O at (0.0382, 0.5191, 0.1472) and O at (0.1870, 0.3740, 0.9220).

As for the total energy: -312.9 eV/cell. Its density of states at the Fermi level is 0.000 states/eV per atom.


Repeat the sixth record exactly.
The following is a GGA-PBE calculation of a geometry-optimized K2SrTi3O8 structure, from the Alexandria database.

It has space group R3m (No. 160, hexagonal axes), with a = 6.1952 Å, b = 6.1952 Å, c = 18.3933 Å, α = 90.00°, β = 90.00° and γ = 120.00°. Symmetry generates all atoms from K at (0.0000, 0.0000, 0.0000), K at (0.0000, 0.0000, 0.3686), Sr at (0.0000, 0.0000, 0.7497), Ti at (0.0037, 0.5019, 0.8704), O at (0.0000, 0.0000, 0.1424), O at (0.0000, 0.0000, 0.5992), O at (0.0382, 0.5191, 0.1472) and O at (0.1870, 0.3740, 0.9220).

As for the total energy: -312.9 eV/cell. Its density of states at the Fermi level is 0.000 states/eV per atom.